## Ni3OsSe (PBE)

Data for a relaxed Ni3OsSe crystal.

ρ   9.535 g/cm3
Excess energy over the best structure of this formula in the dataset   0 meV per atom

Cell: 4.2644 4.2644 4.2644 Å, 90.00 90.00 90.00°
With the nearest neighbours (Å) after each atom.
Space group Pm-3m (No. 221)
Unique sites:
Ni (0.0000, 0.0000, 0.5000)  2 Se 2.13
Os (0.5000, 0.5000, 0.5000)  12 Ni 3.02
Se (0.0000, 0.0000, 0.0000)  6 Ni 2.13

---

## NiOsSe (PBE)

Data for a relaxed NiOsSe crystal.

ρ   11.957 g/cm3
Excess energy over the best structure of this formula in the dataset   137 meV per atom

Cell: 5.6685 5.6685 5.6685 Å, 90.00 90.00 90.00°
With the nearest neighbours (Å) after each atom.
Space group F-43m (No. 216)
Unique sites:
Ni (0.0000, 0.0000, 0.0000)  4 Se 2.45
Os (0.0000, 0.0000, 0.5000)  4 Se 2.45
Se (0.2500, 0.2500, 0.7500)  4 Os 2.45, 4 Ni 2.45

---

## NiOsSe2 (PBE)

Data for a relaxed NiOsSe2 crystal.

ρ   9.593 g/cm3
Excess energy over the best structure of this formula in the dataset   481 meV per atom

Cell: 2.9620 4.8900 9.7248 Å, 90.00 90.00 90.00°
With the nearest neighbours (Å) after each atom.
Space group Cmm2 (No. 35)
Unique sites:
Ni (0.0000, 0.0000, 0.0000)  2 Se 2.38, 2 Os 2.58
Os (0.0000, 0.5000, 0.2174)  2 Se 2.52, 2 Ni 2.58
Se (0.0000, 0.0000, 0.4269)  2 Os 2.52
Se (0.0000, 0.5000, 0.8089)  2 Ni 2.38

---

## NiOsSe2 (PBE)

Data for a relaxed NiOsSe2 crystal.

ρ   8.158 g/cm3
Excess energy over the best structure of this formula in the dataset   340 meV per atom

Cell: 3.6340 3.6340 21.7234 Å, 90.00 90.00 120.00°
With the nearest neighbours (Å) after each atom.
Space group R-3m (No. 166, hexagonal axes)
Unique sites:
Ni (0.0000, 0.0000, 0.0000)  2 Se 2.25
Os (0.0000, 0.0000, 0.5000)  6 Se 2.50
Se (0.0000, 0.0000, 0.1037)  1 Ni 2.25, 3 Os 2.50

---

## NiOsSe2 (PBE)

Data for a relaxed NiOsSe2 crystal.

ρ   10.704 g/cm3
Excess energy over the best structure of this formula in the dataset   363 meV per atom

Cell: 7.5113 3.1361 5.4807 Å, 90.00 102.12 90.00°
With the nearest neighbours (Å) after each atom.
Space group C2/m (No. 12)
Unique sites:
Ni (0.0000, 0.0000, 0.0000)  6 Se 2.50-2.65
Os (0.0000, 0.5000, 0.5000)  6 Se 2.56-2.59
Se (0.2416, 0.0000, 0.7485)  3 Ni 2.50-2.65, 3 Os 2.56-2.59

---

## NiOs4Se (PBE)

Data for a relaxed NiOs4Se crystal.

Uncorrected energy   -7.8824 eV per atom
ρ   15.373 g/cm3

Cell: 7.2951 7.2951 7.2951 Å, 90.00 90.00 90.00°
With the nearest neighbours (Å) after each atom.
Space group F-43m (No. 216)
Unique sites:
Ni (0.0000, 0.0000, 0.0000)  12 Os 3.02, 4 Se 3.16
Os (0.1252, 0.1252, 0.3748)  6 Os 2.58
Se (0.2500, 0.2500, 0.7500)  12 Os 3.02, 4 Ni 3.16